1.
TlZn2In | PBE | optimized geometry

- Energy of formation from the pure elements: 0.18 eV per atom
- SG: Immm (71)

a b c (Å): 5.3679 5.3679 5.3679
angles (deg): 133.15 124.50 75.50
Last column: nearest neighbours and their distance in Å.
Element x y z (fractional)
1 Tl 0.0000 0.0000 0.0000  8 Zn 3.03-3.26, 4 In 3.29
2 Zn 0.2537 0.7537 0.5000  4 In 2.99-3.30, 4 Tl 3.03-3.26, 4 Zn 3.29
3 Zn 0.7463 0.2463 0.5000  4 In 2.99-3.30, 4 Tl 3.03-3.26, 4 Zn 3.29
4 In 0.5000 0.5000 0.0000  8 Zn 2.99-3.30, 4 Tl 3.29

2.
Tl2Zn2In | PBE | optimized geometry

- Energy of formation from the pure elements: 0.12 eV per atom
- SG: I4/mmm (139)

a b c (Å): 9.9966 9.9966 9.9966
angles (deg): 159.09 159.09 29.74
Last column: nearest neighbours and their distance in Å.
Element x y z (fractional)
1 Tl 0.1133 0.1133 0.0000  4 Zn 3.20, 4 In 3.37
2 Tl 0.8867 0.8867 0.0000  4 Zn 3.20, 4 In 3.37
3 Zn 0.2500 0.7500 0.5000  4 Zn 2.57
4 Zn 0.7500 0.2500 0.5000  4 Zn 2.57
5 In 0.5000 0.5000 0.0000  8 Tl 3.37, 4 In 3.63

3.
TlZn2In9 | PBE | optimized geometry

- Energy of formation from the pure elements: 0.07 eV per atom
- SG: I4_1/amd (141)

a b c (Å): 9.7103 9.7103 9.7103
angles (deg): 100.52 100.52 129.40
Last column: nearest neighbours and their distance in Å.
Element x y z (fractional)
1 Tl 0.3750 0.6250 0.7500  8 In 3.70
2 Tl 0.6250 0.3750 0.2500  8 In 3.70
3 Zn 0.0000 0.0000 0.0000  8 In 2.91-3.25
4 Zn 0.0000 0.0000 0.5000  8 In 2.91-3.25
5 Zn 0.0000 0.5000 0.0000  8 In 2.91-3.25
6 Zn 0.5000 0.0000 0.5000  8 In 2.91-3.25
7 In 0.1058 0.5433 0.3158  2 Zn 2.91-3.25, 4 In 3.06-3.22
8 In 0.1058 0.7900 0.5625  2 Zn 2.91-3.25, 4 In 3.06-3.22
9 In 0.1250 0.8750 0.2500  4 Zn 3.27, 8 In 3.29
10 In 0.2100 0.2725 0.3158  2 Zn 2.91-3.25, 4 In 3.06-3.22
11 In 0.2100 0.8942 0.9375  2 Zn 2.91-3.25, 4 In 3.06-3.22
12 In 0.2725 0.2100 0.8158  2 Zn 2.91-3.25, 4 In 3.06-3.22
13 In 0.2725 0.4567 0.0625  2 Zn 2.91-3.25, 4 In 3.06-3.22
14 In 0.4567 0.2725 0.5625  2 Zn 2.91-3.25, 4 In 3.06-3.22
15 In 0.4567 0.8942 0.1842  2 Zn 2.91-3.25, 4 In 3.06-3.22
16 In 0.5433 0.1058 0.8158  2 Zn 2.91-3.25, 4 In 3.06-3.22
17 In 0.5433 0.7275 0.4375  2 Zn 2.91-3.25, 4 In 3.06-3.22
18 In 0.7275 0.5433 0.9375  2 Zn 2.91-3.25, 4 In 3.06-3.22
19 In 0.7275 0.7900 0.1842  2 Zn 2.91-3.25, 4 In 3.06-3.22
20 In 0.7900 0.1058 0.0625  2 Zn 2.91-3.25, 4 In 3.06-3.22
21 In 0.7900 0.7275 0.6842  2 Zn 2.91-3.25, 4 In 3.06-3.22
22 In 0.8750 0.1250 0.7500  4 Zn 3.27, 8 In 3.29
23 In 0.8942 0.2100 0.4375  2 Zn 2.91-3.25, 4 In 3.06-3.22
24 In 0.8942 0.4567 0.6842  2 Zn 2.91-3.25, 4 In 3.06-3.22

4.
TlZn2In | PBE | optimized geometry

- Energy of formation from the pure elements: 0.17 eV per atom
- SG: Cmmm (65)

a b c (Å): 5.3209 5.3209 3.2787
angles (deg): 90.00 90.00 102.77
Last column: nearest neighbours and their distance in Å.
Element x y z (fractional)
1 Tl 0.0000 0.0000 0.0000  8 Zn 3.12, 2 Tl 3.28, 2 In 3.32
2 Zn 0.0000 0.5000 0.5000  4 Tl 3.12, 4 In 3.12, 4 Zn 3.28-3.32
3 Zn 0.5000 0.0000 0.5000  4 Tl 3.12, 4 In 3.12, 4 Zn 3.28-3.32
4 In 0.5000 0.5000 0.0000  8 Zn 3.12, 2 In 3.28, 2 Tl 3.32

5.
TlZnIn | PBE | optimized geometry

- Energy of formation from the pure elements: 0.12 eV per atom
- SG: Amm2 (38)

a b c (Å): 14.3913 3.4871 3.4871
angles (deg): 60.40 90.00 90.00
Last column: nearest neighbours and their distance in Å.
Element x y z (fractional)
1 Tl 0.1948 0.0000 0.0000  3 Zn 3.03-3.04
2 Tl 0.8052 0.0000 0.0000  3 Zn 3.03-3.04
3 Zn 0.3523 0.6657 0.6657  3 In 2.93, 3 Tl 3.03-3.04
4 Zn 0.6477 0.6657 0.6657  3 In 2.93, 3 Tl 3.03-3.04
5 In 0.0000 0.6649 0.6649  6 Tl 3.45-3.46, 6 In 3.49-3.51
6 In 0.5000 0.0014 0.0014  6 Zn 2.93

6.
Tl3ZnIn | PBE | optimized geometry

- Energy of formation from the pure elements: 0.23 eV per atom
- SG: Pm-3m (221)

a b c (Å): 5.4018 5.4018 5.4018
angles (deg): 90.00 90.00 90.00
Last column: nearest neighbours and their distance in Å.
Element x y z (fractional)
1 Tl 0.0000 0.0000 0.5000  2 Zn 2.70
2 Tl 0.0000 0.5000 0.0000  2 Zn 2.70
3 Tl 0.5000 0.0000 0.0000  2 Zn 2.70
4 Zn 0.0000 0.0000 0.0000  6 Tl 2.70
5 In 0.5000 0.5000 0.5000  12 Tl 3.82

7.
TlZnIn | PBE | optimized geometry

- Energy of formation from the pure elements: 0.13 eV per atom
- SG: P3m1 (156)

a b c (Å): 4.9056 4.9056 3.6973
angles (deg): 90.00 90.00 120.00
Last column: nearest neighbours and their distance in Å.
Element x y z (fractional)
1 Tl 0.0000 0.0000 0.0000  6 Zn 3.38-3.39, 6 In 3.38, 2 Tl 3.70
2 Zn 0.6667 0.3333 0.4983  3 In 2.83
3 In 0.3333 0.6667 0.5004  3 Zn 2.83

8.
TlZn2In | PBE | optimized geometry

- Energy of formation from the pure elements: 0.17 eV per atom
- SG: P4/mmm (123)

a b c (Å): 4.7787 4.7787 3.9617
angles (deg): 90.00 90.00 90.00
Last column: nearest neighbours and their distance in Å.
Element x y z (fractional)
1 Tl 0.0000 0.0000 0.0000  8 Zn 3.10, 4 In 3.38
2 Zn 0.0000 0.5000 0.5000  4 Tl 3.10, 4 In 3.10, 4 Zn 3.38
3 Zn 0.5000 0.0000 0.5000  4 Tl 3.10, 4 In 3.10, 4 Zn 3.38
4 In 0.5000 0.5000 0.0000  8 Zn 3.10, 4 Tl 3.38

9.
TlZnIn3 | PBE | optimized geometry

- Energy of formation from the pure elements: 0.06 eV per atom
- SG: C2/m (12)

a b c (Å): 9.3967 9.3967 6.4754
angles (deg): 101.98 101.98 28.48
Last column: nearest neighbours and their distance in Å.
Element x y z (fractional)
1 Tl 0.0789 0.0789 0.3607  6 In 3.30-3.62, 2 Zn 3.36
2 Tl 0.9211 0.9211 0.6393  6 In 3.30-3.62, 2 Zn 3.36
3 Zn 0.3133 0.3133 0.8055  7 In 2.81-3.10
4 Zn 0.6867 0.6867 0.1945  7 In 2.81-3.10
5 In 0.1622 0.1622 0.9207  3 Zn 2.89-3.00, 4 In 3.09-3.19
6 In 0.2895 0.2895 0.3620  3 Zn 2.81-3.03
7 In 0.4529 0.4529 0.1752  4 In 3.09-3.44, 1 Zn 3.10, 2 Tl 3.30
8 In 0.5471 0.5471 0.8248  4 In 3.09-3.44, 1 Zn 3.10, 2 Tl 3.30
9 In 0.7105 0.7105 0.6380  3 Zn 2.81-3.03
10 In 0.8378 0.8378 0.0793  3 Zn 2.89-3.00, 4 In 3.09-3.19

10.
TlZnIn | PBE | optimized geometry

- Energy of formation from the pure elements: 0.08 eV per atom
- SG: Cm (8)

a b c (Å): 4.3782 4.3782 9.9925
angles (deg): 102.81 102.81 60.23
Last column: nearest neighbours and their distance in Å.
Element x y z (fractional)
1 Tl 0.0000 0.0000 0.0000  3 In 3.25, 3 Tl 3.43-3.44
2 Tl 0.7466 0.7466 0.2407  3 In 3.20-3.21, 3 Tl 3.43-3.44, 1 Zn 3.51
3 Zn 0.5436 0.5436 0.6309  3 Zn 2.54
4 Zn 0.8686 0.8686 0.6046  3 Zn 2.54
5 In 0.1487 0.1487 0.4440  6 Zn 2.97-3.12, 3 Tl 3.20-3.21
6 In 0.2628 0.2628 0.7892  6 Zn 2.96-3.10, 3 Tl 3.25

11.
TlZnIn | PBE | optimized geometry

- Energy of formation from the pure elements: 0.06 eV per atom
- SG: P1 (1)

a b c (Å): 3.3396 3.3945 13.1624
angles (deg): 89.91 89.96 84.42
Last column: nearest neighbours and their distance in Å.
Element x y z (fractional)
1 Tl 0.0000 0.0000 0.0000  6 Tl 3.34-3.61, 4 In 3.43-3.59
2 Tl 0.4954 0.4941 0.2140  6 Tl 3.34-3.61, 4 In 3.43-3.59
3 Zn 0.0020 0.9991 0.6575  4 Zn 2.62-2.83
4 Zn 0.5009 0.4978 0.5563  4 Zn 2.62-2.83
5 In 0.5017 0.5010 0.8039  5 Zn 2.97-3.26
6 In 0.9967 0.9946 0.4100  5 Zn 2.97-3.26

12.
TlZnIn | PBE | optimized geometry

- Energy of formation from the pure elements: 0.10 eV per atom
- SG: Fmm2 (42)

a b c (Å): 6.6619 6.5520 3.5160
angles (deg): 76.30 72.85 30.85
Last column: nearest neighbours and their distance in Å.
Element x y z (fractional)
1 Tl 0.0000 0.0000 0.0000  4 Zn 3.08-3.30, 2 In 3.37
2 Zn 0.3365 0.3365 0.6635  4 In 2.88-3.12, 2 Tl 3.08
3 In 0.6985 0.6985 0.3015  4 Zn 2.88-3.12

13.
TlZn2In | PBE | optimized geometry

- Energy of formation from the pure elements: 0.16 eV per atom
- SG: P4/mmm (123)

a b c (Å): 3.3522 3.3522 8.0823
angles (deg): 90.00 90.00 90.00
Last column: nearest neighbours and their distance in Å.
Element x y z (fractional)
1 Tl 0.0000 0.0000 0.0000  8 Zn 3.20, 4 Tl 3.35
2 Zn 0.5000 0.5000 0.2665  4 In 3.03, 4 Tl 3.20, 4 Zn 3.35
3 Zn 0.5000 0.5000 0.7335  4 In 3.03, 4 Tl 3.20, 4 Zn 3.35
4 In 0.0000 0.0000 0.5000  8 Zn 3.03, 4 In 3.35

14.
TlZnIn | PBE | optimized geometry

- Energy of formation from the pure elements: 0.12 eV per atom
- SG: Pnma (62)

a b c (Å): 7.1049 4.5372 9.3322
angles (deg): 90.00 90.00 90.00
Last column: nearest neighbours and their distance in Å.
Element x y z (fractional)
1 Tl 0.1557 0.2500 0.0615  4 Zn 2.97-3.23
2 Tl 0.3443 0.7500 0.5615  4 Zn 2.97-3.23
3 Tl 0.6557 0.2500 0.4385  4 Zn 2.97-3.23
4 Tl 0.8443 0.7500 0.9385  4 Zn 2.97-3.23
5 Zn 0.2079 0.2500 0.3773  3 In 2.95-3.14, 4 Tl 2.97-3.23
6 Zn 0.2921 0.7500 0.8773  3 In 2.95-3.14, 4 Tl 2.97-3.23
7 Zn 0.7079 0.2500 0.1227  3 In 2.95-3.14, 4 Tl 2.97-3.23
8 Zn 0.7921 0.7500 0.6227  3 In 2.95-3.14, 4 Tl 2.97-3.23
9 In 0.0426 0.2500 0.6889  3 Zn 2.95-3.14
10 In 0.4574 0.7500 0.1889  3 Zn 2.95-3.14
11 In 0.5426 0.2500 0.8111  3 Zn 2.95-3.14
12 In 0.9574 0.7500 0.3111  3 Zn 2.95-3.14

15.
Tl2ZnIn4 | PBE | optimized geometry

- Energy of formation from the pure elements: 0.21 eV per atom
- SG: I4/mmm (139)

a b c (Å): 8.7252 8.7252 8.7252
angles (deg): 144.59 144.59 50.95
Last column: nearest neighbours and their distance in Å.
Element x y z (fractional)
1 Tl 0.1282 0.1282 0.0000  5 In 3.07-3.33
2 Tl 0.8718 0.8718 0.0000  5 In 3.07-3.33
3 Zn 0.5000 0.5000 0.0000  6 In 2.65-2.79
4 In 0.0000 0.5000 0.5000  2 Zn 2.65
5 In 0.3232 0.3232 0.0000  1 Zn 2.79, 1 Tl 3.07
6 In 0.5000 0.0000 0.5000  2 Zn 2.65
7 In 0.6768 0.6768 0.0000  1 Zn 2.79, 1 Tl 3.07

16.
Tl17ZnIn11 | PBE | optimized geometry

- Energy of formation from the pure elements: 0.02 eV per atom
- SG: Cm (8)

a b c (Å): 10.3663 10.3663 10.3080
angles (deg): 109.39 109.39 109.77
Last column: nearest neighbours and their distance in Å.
Element x y z (fractional)
1 Tl 0.0000 0.0000 0.0000  4 Tl 3.43-3.73, 6 In 3.58-3.64, 1 Zn 3.77
2 Tl 0.0014 0.0014 0.3624  11 In 3.56-3.65, 1 Zn 3.65, 4 Tl 3.73-3.75
3 Tl 0.0009 0.6394 0.3624  4 Tl 3.41-3.75, 5 In 3.50-3.60, 1 Zn 3.64
4 Tl 0.2841 0.6019 0.9660  4 In 3.25-3.57, 7 Tl 3.43-3.61
5 Tl 0.3207 0.3207 0.0717  5 In 3.28-3.63, 7 Tl 3.45-3.59
6 Tl 0.3233 0.7166 0.6830  5 In 3.24-3.63, 7 Tl 3.44-3.62
7 Tl 0.3650 0.3650 0.7216  4 Tl 3.43-3.74, 8 In 3.58-3.83
8 Tl 0.3919 0.9987 0.0391  5 In 3.27-3.66, 7 Tl 3.45-3.61
9 Tl 0.3937 0.6821 0.3604  4 In 3.23-3.47, 7 Tl 3.41-3.58
10 Tl 0.6019 0.2841 0.9660  4 In 3.25-3.57, 7 Tl 3.43-3.61
11 Tl 0.6135 0.6135 0.6400  1 Zn 3.10
12 Tl 0.6394 0.0009 0.3624  4 Tl 3.41-3.75, 5 In 3.50-3.60, 1 Zn 3.64
13 Tl 0.6801 0.9966 0.7519  3 In 3.26-3.60, 1 Zn 3.30, 7 Tl 3.43-3.61
14 Tl 0.6821 0.3937 0.3604  4 In 3.23-3.47, 7 Tl 3.41-3.58
15 Tl 0.7166 0.3233 0.6830  5 In 3.24-3.63, 7 Tl 3.44-3.62
16 Tl 0.9966 0.6801 0.7519  3 In 3.26-3.60, 1 Zn 3.30, 7 Tl 3.43-3.61
17 Tl 0.9987 0.3919 0.0391  5 In 3.27-3.66, 7 Tl 3.45-3.61
18 Zn 0.8248 0.8248 0.5567  3 In 2.84-2.97, 1 Tl 3.10
19 In 0.0033 0.3678 0.5500  3 In 3.05-3.20, 3 Tl 3.26-3.41
20 In 0.1750 0.8104 0.1701  3 In 3.05-3.20, 3 Tl 3.25-3.40
21 In 0.1758 0.9911 0.7196  1 Zn 2.97, 2 In 3.05-3.13, 2 Tl 3.27-3.32
22 In 0.1888 0.3680 0.3603  3 In 3.04-3.20, 2 Tl 3.23-3.38
23 In 0.3678 0.0033 0.5500  3 In 3.05-3.20, 3 Tl 3.26-3.41
24 In 0.3680 0.1888 0.3603  3 In 3.04-3.20, 2 Tl 3.23-3.38
25 In 0.6313 0.8139 0.9983  3 In 3.05-3.27, 2 Tl 3.24-3.36
26 In 0.6487 0.6487 0.2191  1 Zn 2.84
27 In 0.8104 0.1750 0.1701  3 In 3.05-3.20, 3 Tl 3.25-3.40
28 In 0.8139 0.6313 0.9983  3 In 3.05-3.27, 2 Tl 3.24-3.36
29 In 0.9911 0.1758 0.7196  1 Zn 2.97, 2 In 3.05-3.13, 2 Tl 3.27-3.32

17.
TlZnIn | PBE | optimized geometry

- Energy of formation from the pure elements: 0.09 eV per atom
- SG: P-1 (2)

a b c (Å): 3.4125 6.4634 7.6271
angles (deg): 67.79 77.21 89.91
Last column: nearest neighbours and their distance in Å.
Element x y z (fractional)
1 Tl 0.1283 0.4540 0.2425  3 Zn 2.99-3.11
2 Tl 0.8717 0.5460 0.7575  3 Zn 2.99-3.11
3 Zn 0.2344 0.1462 0.0295  2 Zn 2.70-2.71, 3 In 2.93-2.95, 1 Tl 2.99
4 Zn 0.7656 0.8538 0.9705  2 Zn 2.70-2.71, 3 In 2.93-2.95, 1 Tl 2.99
5 In 0.4314 0.1224 0.6414  3 Zn 2.93-2.95, 1 In 3.08
6 In 0.5686 0.8776 0.3586  3 Zn 2.93-2.95, 1 In 3.08

18.
TlZnIn | PBE | optimized geometry

- Energy of formation from the pure elements: 0.12 eV per atom
- SG: Imm2 (44)

a b c (Å): 6.4533 6.4533 6.4533
angles (deg): 148.11 147.84 45.92
Last column: nearest neighbours and their distance in Å.
Element x y z (fractional)
1 Tl 0.0000 0.0000 0.0000  4 Zn 3.19, 5 In 3.46-3.57, 4 Tl 3.55-3.57
2 Zn 0.6653 0.6653 0.0000  4 In 2.99, 4 Tl 3.19
3 In 0.3006 0.3006 0.0000  4 Zn 2.99

19.
TlZnIn | PBE | optimized geometry

- Energy of formation from the pure elements: 0.10 eV per atom
- SG: P1 (1)

a b c (Å): 3.2802 6.3678 7.6216
angles (deg): 74.85 80.95 81.48
Last column: nearest neighbours and their distance in Å.
Element x y z (fractional)
1 Tl 0.0000 0.0000 0.0000  3 Zn 2.97-3.11, 2 Tl 3.28
2 Tl 0.4795 0.7478 0.3985  2 Zn 3.01-3.17, 3 Tl 3.28-3.37
3 Zn 0.2727 0.4109 0.7491  2 Zn 2.62-2.69, 1 In 2.86
4 Zn 0.6810 0.7232 0.7975  2 Zn 2.62-2.69
5 In 0.2582 0.4180 0.1445  2 Zn 3.02-3.11, 3 In 3.21-3.28
6 In 0.8499 0.1607 0.5389  3 Zn 2.86-3.12

20.
TlZn2In | PBE | optimized geometry

- Energy of formation from the pure elements: 0.10 eV per atom
- SG: Pm (6)

a b c (Å): 4.0478 4.2306 5.6191
angles (deg): 90.00 109.63 90.00
Last column: nearest neighbours and their distance in Å.
Element x y z (fractional)
1 Tl 0.0000 0.0000 0.0000  7 Zn 2.89-3.15
2 Zn 0.5793 0.5000 0.1598  2 Zn 2.63
3 Zn 0.7144 0.0000 0.4543  2 Zn 2.63, 1 Tl 2.89
4 In 0.2904 0.5000 0.6036  7 Zn 2.95-3.11